[1]
PBE HoErZn4, relaxed; ΔE_f = -0.3334 eV per atom; energy above the lowest structure with this stoichiometry = 0.27 eV per formula unit; DOS at the Fermi energy = 2.38 states/eV/f.u.
1.0
-4.826 1.661 1.864
-2.082 -2.215 4.504
-0.288 2.913 4.578
Ho Zn Er
1 4 1
Cartesian
-1.799 0.590 2.736
-4.353 0.018 4.552
-2.084 0.644 5.909
-3.456 2.582 4.589
-4.497 1.474 6.841
0.000 0.000 0.000

***

[2]
PBE CrHPt2Rh, relaxed; energy above the lowest structure with this stoichiometry = 0.00 eV per formula unit; DOS at the Fermi energy = 5.18 states/eV/f.u.
1.0
3.973 0.000 0.000
0.000 3.973 0.000
0.000 0.000 3.933
Rh Pt H Cr
1 2 1 1
Cartesian
0.000 0.000 1.966
1.986 0.000 0.000
0.000 1.986 0.000
0.000 0.000 0.000
1.986 1.986 1.966

***

[3]
PBE Li2AuO2, relaxed; E_form (uncorrected) = -1.169 eV per atom; DOS at the Fermi energy = 0.72 states/eV/f.u.
1.0
-1.693 2.530 -2.011
-3.204 -1.412 4.230
4.756 4.451 1.595
Au O Li
2 4 4
Cartesian
-1.863 1.566 0.230
1.723 4.002 3.584
-0.275 3.345 4.440
1.493 2.651 2.078
0.134 2.223 -0.626
-1.633 2.918 1.736
0.216 3.508 0.922
-0.357 2.060 2.892
3.185 3.083 1.198
-3.325 2.485 2.617

***

[4]
PBE BaSrCdIr, relaxed; ΔE_f = -0.1587 eV per atom; energy above the lowest structure with this stoichiometry = 0.22 eV per formula unit; DOS at the Fermi energy = 2.29 states/eV/f.u.
1.0
-1.367 -0.831 4.395
4.383 0.014 1.366
-0.675 11.938 2.046
Cd Sr Ba Ir
2 2 2 2
Cartesian
2.023 2.984 1.193
-0.506 8.946 1.533
1.046 7.755 4.280
-0.808 1.780 2.574
-0.308 5.453 0.935
1.545 11.429 2.641
1.258 4.012 3.638
-1.271 9.974 3.978

***

[5]
PBE KUFeN3, relaxed; E_form (uncorrected) = -0.712 eV per atom; DOS at the Fermi energy = 2.24 states/eV/f.u.
1.0
3.457 0.000 0.000
0.000 7.760 0.714
0.000 -2.966 7.478
N U K Fe
6 2 2 2
Cartesian
0.864 5.303 3.853
0.864 1.469 6.892
0.864 -1.248 6.449
2.592 6.042 1.744
2.592 3.325 1.301
2.592 -0.509 4.340
2.592 0.093 6.541
0.864 4.701 1.652
0.864 0.870 1.789
2.592 3.924 6.404
0.864 -1.294 4.551
2.592 6.087 3.642

***

[6]
PBE KLaNi2, relaxed; ΔE_f = 0.4015 eV per atom; energy above the lowest structure with this stoichiometry = 1.58 eV per formula unit; DOS at the Fermi energy = 3.43 states/eV/f.u.
1.0
7.815 0.142 0.303
-3.121 3.873 -0.181
1.572 1.403 2.986
Ni La K
2 1 1
Cartesian
4.693 0.772 1.645
0.000 0.000 0.000
2.347 2.008 0.061
-0.775 2.638 1.403

***

[7]
PBE AlGaTeO6, relaxed; E_form (uncorrected) = -1.798 eV per atom
1.0
-0.631 -1.198 -4.359
-1.625 -4.047 1.348
-8.285 3.413 0.261
Ga O Te Al
2 12 2 2
Cartesian
-8.272 3.407 0.260
-5.257 -0.922 -1.376
-5.595 -1.793 0.395
-7.126 -1.379 -1.929
-1.572 -3.612 -2.077
-8.292 -0.664 0.448
-0.716 -1.620 -0.933
-6.229 0.706 -0.732
-7.687 1.071 -3.028
-2.835 -2.901 0.258
-2.236 -1.185 -3.180
-4.978 -0.026 -3.145
-4.288 -2.528 -2.009
-3.406 -0.477 -0.831
-8.029 0.220 -1.288
-2.759 1.137 0.087
-2.521 -2.049 -1.462
-5.535 2.280 0.174

***

[8]
PBE HoSi2MoOs, relaxed; E_form (uncorrected) = -0.534 eV per atom; DOS at the Fermi energy = 4.45 states/eV/f.u.
1.0
-2.718 -0.880 2.927
2.793 -2.304 1.902
1.526 5.707 0.275
Si Mo Ho Os
2 1 1 1
Cartesian
0.404 -0.627 3.045
1.197 3.150 2.059
2.178 0.906 2.296
0.000 0.000 0.000
-0.578 1.618 2.808

***

[9]
PBE CeTh2Sn3, relaxed; ΔE_f = -0.4797 eV per atom; DOS at the Fermi energy = 6.15 states/eV/f.u.
1.0
-0.114 2.668 -3.647
4.536 -3.571 -2.754
-6.989 -3.503 0.457
Sn Th Ce
3 2 1
Cartesian
-3.215 -2.660 -1.845
0.647 -1.746 -4.098
0.000 0.000 0.000
-0.910 -4.415 -3.201
-1.658 0.009 -2.743
2.268 -1.785 -1.377

***

[10]
PBE U2C, relaxed; ΔE_f = 0.5334 eV per atom; DOS at the Fermi energy = 7.65 states/eV/f.u.
1.0
3.506 0.000 0.000
0.000 3.506 0.000
-1.753 -1.753 3.836
C U
1 2
Cartesian
0.000 0.000 0.000
0.000 0.000 2.536
1.753 1.753 1.299

***

[11]
PBE MnReAg2, relaxed; ΔE_f = 0.6024 eV per atom; energy above the lowest structure with this stoichiometry = 1.10 eV per formula unit; DOS at the Fermi energy = 3.92 states/eV/f.u.
1.0
2.701 -0.017 0.000
-0.910 2.543 0.000
0.000 0.000 9.477
Mn Ag Re
1 2 1
Cartesian
0.895 1.263 2.369
0.000 0.000 4.671
0.000 0.000 0.067
0.895 1.263 7.107

***

[12]
PBE SiAg2GeRu, relaxed; E_form (uncorrected) = 0.653 eV per atom; DOS at the Fermi energy = 2.44 states/eV/f.u.
1.0
-4.678 -0.663 0.202
0.351 -3.370 -2.929
0.585 -3.043 3.572
Ge Si Ru Ag
1 1 1 2
Cartesian
-1.870 -3.538 0.423
0.000 0.000 0.000
0.176 -1.685 -1.464
0.293 -1.522 1.786
-2.339 -0.332 0.101

***

no.,total moment (μB/f.u.)
1,0.0
2,2.6
3,0.0
4,0.0
5,0.0
6,0.0
7,0.0
8,1.0
9,0.4
10,0.0
11,4.0
12,0.0